1.
Entry from Alexandria: a geometry-optimized Cs2YSn structure (PBE). Values from VASP.

Computed properties:
Crystal system ... cubic

Cell and atoms, written as Quantum ESPRESSO input:
```
&SYSTEM
  ibrav = 0, nat = 4, ntyp = 3
/
ATOMIC_SPECIES
Cs 132.91 Cs.upf
Sn 118.71 Sn.upf
Y 88.91 Y.upf
CELL_PARAMETERS angstrom
0.0000 4.5024 4.5024
4.5024 0.0000 4.5024
4.5024 4.5024 0.0000
ATOMIC_POSITIONS crystal
Cs 0.7500 0.7500 0.7500
Cs 0.2500 0.2500 0.2500
Sn 0.5000 0.5000 0.5000
Y 0.0000 0.0000 0.0000
```

2.
Entry from Alexandria: a geometry-optimized CsYSn structure (PBE). Values from VASP.

Computed properties:
Crystal system ... orthorhombic

Cell and atoms, written as Quantum ESPRESSO input:
```
&SYSTEM
  ibrav = 0, nat = 12, ntyp = 3
/
ATOMIC_SPECIES
Y 88.91 Y.upf
Cs 132.91 Cs.upf
Sn 118.71 Sn.upf
CELL_PARAMETERS angstrom
10.0227 0.0000 0.0000
0.0000 5.0943 0.0000
0.0000 0.0000 10.5679
ATOMIC_POSITIONS crystal
Y 0.9397 0.2500 0.8877
Cs 0.1464 0.7500 0.4610
Sn 0.9085 0.2500 0.1777
Y 0.4397 0.2500 0.6123
Cs 0.3536 0.2500 0.9610
Y 0.5603 0.7500 0.3877
Cs 0.6464 0.7500 0.0390
Y 0.0603 0.7500 0.1123
Sn 0.0915 0.7500 0.8223
Sn 0.4085 0.2500 0.3223
Cs 0.8536 0.2500 0.5390
Sn 0.5915 0.7500 0.6777
```

3.
Entry from Alexandria: a geometry-optimized CsYSn structure (PBE). Values from VASP.

Computed properties:
Crystal system ... orthorhombic

Cell and atoms, written as Quantum ESPRESSO input:
```
&SYSTEM
  ibrav = 0, nat = 12, ntyp = 3
/
ATOMIC_SPECIES
Sn 118.71 Sn.upf
Y 88.91 Y.upf
Cs 132.91 Cs.upf
CELL_PARAMETERS angstrom
-3.6430 8.5551 -2.2010
-2.9047 -2.8850 -6.4059
-5.7517 -1.5936 3.3258
ATOMIC_POSITIONS crystal
Sn 0.2320 0.7500 0.4998
Y 0.5000 0.0000 0.5000
Cs 0.6410 0.2500 0.0002
Sn 0.2680 0.2500 0.9998
Cs 0.8590 0.7500 0.5002
Cs 0.1410 0.2500 0.4998
Cs 0.3590 0.7500 0.9998
Y 0.5000 0.5000 0.5000
Sn 0.7680 0.2500 0.5002
Y 0.0000 0.5000 0.0000
Y 0.0000 0.0000 0.0000
Sn 0.7320 0.7500 0.0002
```

4.
Entry from Alexandria: a geometry-optimized Cs2YSn2 structure (PBE). Values from VASP.

Computed properties:
Crystal system ... tetragonal

Cell and atoms, written as Quantum ESPRESSO input:
```
&SYSTEM
  ibrav = 0, nat = 10, ntyp = 3
/
ATOMIC_SPECIES
Y 88.91 Y.upf
Cs 132.91 Cs.upf
Sn 118.71 Sn.upf
CELL_PARAMETERS angstrom
-1.8191 5.6334 9.1503
-10.5879 -2.5228 -0.5517
0.5790 -2.8371 1.8618
ATOMIC_POSITIONS crystal
Y 0.5000 0.5000 0.0000
Cs 0.3832 0.8832 0.0000
Cs 0.6168 0.1168 0.0000
Cs 0.1168 0.3832 0.0000
Y 0.0000 0.0000 0.0000
Sn 0.6809 0.8191 0.5000
Sn 0.3191 0.1809 0.5000
Sn 0.8191 0.3191 0.5000
Sn 0.1809 0.6809 0.5000
Cs 0.8832 0.6168 0.0000
```

Number 1: E above lowest polymorph 335 meV per atom, calculated formation energy 2.330 eV per formula unit. Number 2: E above lowest polymorph 373 meV per atom, calculated formation energy -0.043 eV per formula unit. Number 3: E above lowest polymorph 655 meV per atom, calculated formation energy 0.804 eV per formula unit. Number 4: E above lowest polymorph 405 meV per atom, calculated formation energy 1.936 eV per formula unit.